# 1
Compound: LaAl2Pt
Source: Alexandria
Functional: GGA-PBEsol
Structure: optimized geometry

Properties
- E_form (meV/atom) = -810
- spin magnetization (μB/cell) = 0.0

Unit cell a=5.938 b=5.938 c=5.938 alpha=42.69 beta=42.69 gamma=42.69
Positions (direct):
La (0.000, 0.000, 0.000)
Al (0.203, 0.203, 0.203)
Al (0.465, 0.465, 0.465)
Pt (0.811, 0.811, 0.811)

# 2
Compound: SiMo2H2
Source: Alexandria
Functional: GGA-PBEsol
Structure: optimized geometry

Properties
- VASP energy (eV per atom) = -7.34
- spin magnetization (μB/cell) = 0.0

Unit cell a=5.536 b=5.536 c=5.536 alpha=147.89 beta=147.89 gamma=46.05
Positions (direct):
Si (0.000, 0.000, 0.000)
Mo (0.356, 0.356, 0.000)
Mo (0.644, 0.644, 0.000)
H (0.250, 0.750, 0.500)
H (0.750, 0.250, 0.500)

# 3
Compound: FeAgIO2
Source: Alexandria
Functional: GGA-PBEsol
Structure: optimized geometry

Properties
- formation energy from raw total energies (eV/f.u.) = 3.633
- spin magnetization (μB/cell) = 4.6

Unit cell a=3.922 b=3.922 c=5.962 alpha=90.00 beta=90.00 gamma=90.00
Positions (direct):
Fe (0.000, 0.000, 0.000)
Ag (0.500, 0.500, 0.500)
I (0.500, 0.500, 0.000)
O (0.000, 0.500, 0.500)
O (0.500, 0.000, 0.500)

# 4
Compound: CuPd2Pt
Source: Alexandria
Functional: GGA-PBEsol
Structure: optimized geometry

Properties
- E_form (meV/atom) = 27
- spin magnetization (μB/cell) = 0.0

Unit cell a=4.307 b=4.307 c=4.307 alpha=60.00 beta=60.00 gamma=60.00
Positions (direct):
Cu (0.000, 0.000, 0.000)
Pd (0.250, 0.250, 0.250)
Pd (0.750, 0.750, 0.750)
Pt (0.500, 0.500, 0.500)

# 5
Compound: MnNbCo2Ru
Source: Alexandria
Functional: GGA-PBEsol
Structure: optimized geometry

Properties
- E_form (meV/atom) = 1439
- spin magnetization (μB/cell) = 1.1

Unit cell a=4.288 b=4.288 c=4.298 alpha=90.00 beta=90.00 gamma=90.00
Positions (direct):
Mn (0.000, 0.000, 0.000)
Nb (0.500, 0.500, 0.000)
Co (0.000, 0.500, 0.500)
Co (0.500, 0.000, 0.500)
Ru (0.000, 0.000, 0.500)

# 6
Compound: NaTiIrW2
Source: Alexandria
Functional: GGA-PBEsol
Structure: optimized geometry

Properties
- E_form (meV/atom) = 1769
- spin magnetization (μB/cell) = 0.4

Unit cell a=4.725 b=4.725 c=4.780 alpha=90.00 beta=90.00 gamma=90.00
Positions (direct):
Na (0.000, 0.000, 0.000)
Ti (0.500, 0.500, 0.000)
Ir (0.000, 0.000, 0.500)
W (0.000, 0.500, 0.500)
W (0.500, 0.000, 0.500)

# 7
Compound: Sc2CdOs
Source: Alexandria
Functional: GGA-PBEsol
Structure: optimized geometry

Properties
- E_form (meV/atom) = -42
- spin magnetization (μB/cell) = 0.0

Unit cell a=4.648 b=4.648 c=4.648 alpha=60.00 beta=60.00 gamma=60.00
Positions (direct):
Sc (0.000, 0.000, 0.000)
Sc (0.250, 0.250, 0.250)
Cd (0.750, 0.750, 0.750)
Os (0.500, 0.500, 0.500)

# 8
Compound: ScAlNi2
Source: Alexandria
Functional: GGA-PBEsol
Structure: optimized geometry

Properties
- E_form (meV/atom) = -556
- spin magnetization (μB/cell) = 0.0

Unit cell a=2.989 b=2.989 c=6.038 alpha=90.00 beta=90.00 gamma=90.00
Positions (direct):
Sc (0.000, 0.000, 0.000)
Al (0.000, 0.000, 0.500)
Ni (0.500, 0.500, 0.277)
Ni (0.500, 0.500, 0.723)

# 9
Compound: Mn3Cu3Te2O16
Source: Alexandria
Functional: GGA-PBEsol
Structure: optimized geometry

Properties
- formation energy from raw total energies (eV/f.u.) = -24.198
- spin magnetization (μB/cell) = 6.8

Unit cell a=5.875 b=5.875 c=9.153 alpha=93.72 beta=93.72 gamma=57.37
Positions (direct):
Mn (0.000, 0.000, 0.000)
Mn (0.169, 0.666, 0.494)
Mn (0.666, 0.169, 0.494)
Cu (0.003, 0.497, 0.994)
Cu (0.497, 0.003, 0.994)
Cu (0.663, 0.663, 0.498)
Te (0.158, 0.158, 0.271)
Te (0.510, 0.510, 0.773)
O (0.154, 0.154, 0.907)
O (0.185, 0.678, 0.877)
O (0.289, 0.845, 0.138)
O (0.301, 0.301, 0.133)
O (0.339, 0.798, 0.622)
O (0.357, 0.357, 0.617)
O (0.483, 0.483, 0.393)
O (0.497, 0.997, 0.384)
O (0.678, 0.185, 0.877)
O (0.682, 0.682, 0.871)
O (0.798, 0.339, 0.622)
O (0.841, 0.841, 0.082)
O (0.845, 0.289, 0.138)
O (0.846, 0.846, 0.589)
O (0.997, 0.497, 0.384)
O (0.997, 0.997, 0.389)

# 10
Compound: U2BiN2
Source: Alexandria
Functional: GGA-PBEsol
Structure: optimized geometry

Properties
- formation energy from raw total energies (eV/f.u.) = -5.733
- spin magnetization (μB/cell) = 3.0

Unit cell a=6.726 b=6.726 c=6.726 alpha=146.74 beta=146.74 gamma=47.76
Positions (direct):
U (0.159, 0.159, 0.000)
U (0.841, 0.841, 0.000)
Bi (0.500, 0.500, 0.000)
N (0.250, 0.750, 0.500)
N (0.750, 0.250, 0.500)

# 11
Compound: CaYSn2Ru
Source: Alexandria
Functional: GGA-PBEsol
Structure: optimized geometry

Properties
- E_form (meV/atom) = -33
- spin magnetization (μB/cell) = 0.0

Unit cell a=5.097 b=5.097 c=5.055 alpha=90.00 beta=90.00 gamma=90.00
Positions (direct):
Ca (0.000, 0.000, 0.000)
Y (0.500, 0.500, 0.000)
Sn (0.000, 0.500, 0.500)
Sn (0.500, 0.000, 0.500)
Ru (0.000, 0.000, 0.500)

# 12
Compound: LiHf3Hg
Source: Alexandria
Functional: GGA-PBEsol
Structure: optimized geometry

Properties
- E_form (meV/atom) = 670
- spin magnetization (μB/cell) = 0.0

Unit cell a=4.609 b=4.609 c=4.609 alpha=90.00 beta=90.00 gamma=90.00
Positions (direct):
Li (0.000, 0.000, 0.000)
Hf (0.000, 0.000, 0.500)
Hf (0.000, 0.500, 0.000)
Hf (0.500, 0.000, 0.000)
Hg (0.500, 0.500, 0.500)

# 13
Compound: NaSrCo2O
Source: Alexandria
Functional: GGA-PBEsol
Structure: optimized geometry

Properties
- formation energy from raw total energies (eV/f.u.) = 4.808
- spin magnetization (μB/cell) = 4.0

Unit cell a=4.642 b=4.642 c=4.388 alpha=90.00 beta=90.00 gamma=90.00
Positions (direct):
Na (0.000, 0.000, 0.000)
Sr (0.500, 0.500, 0.500)
Co (0.000, 0.500, 0.000)
Co (0.500, 0.000, 0.000)
O (0.000, 0.000, 0.500)

# 14
Compound: KPdI3
Source: Alexandria
Functional: GGA-PBEsol
Structure: optimized geometry

Properties
- formation energy from raw total energies (eV/f.u.) = -3.382
- spin magnetization (μB/cell) = 0.0

Unit cell a=5.500 b=5.500 c=5.500 alpha=90.00 beta=90.00 gamma=90.00
Positions (direct):
K (0.000, 0.000, 0.000)
Pd (0.500, 0.500, 0.500)
I (0.000, 0.500, 0.500)
I (0.500, 0.000, 0.500)
I (0.500, 0.500, 0.000)

# 15
Compound: NdDy
Source: Alexandria
Functional: GGA-PBEsol
Structure: optimized geometry

Properties
- E_form (meV/atom) = 17
- spin magnetization (μB/cell) = 0.0

Unit cell a=17.295 b=17.295 c=17.295 alpha=11.79 beta=11.79 gamma=11.79
Positions (direct):
Nd (0.000, 0.000, 0.000)
Nd (0.223, 0.223, 0.223)
Nd (0.498, 0.498, 0.498)
Dy (0.109, 0.109, 0.109)
Dy (0.611, 0.611, 0.611)
Dy (0.722, 0.722, 0.722)

# 16
Compound: CrCo2TcP
Source: Alexandria
Functional: GGA-PBEsol
Structure: optimized geometry

Properties
- E_form (meV/atom) = 637
- spin magnetization (μB/cell) = 2.5

Unit cell a=3.999 b=3.999 c=4.160 alpha=90.00 beta=90.00 gamma=90.00
Positions (direct):
Cr (0.000, 0.000, 0.000)
Co (0.000, 0.500, 0.500)
Co (0.500, 0.000, 0.500)
Tc (0.500, 0.500, 0.000)
P (0.000, 0.000, 0.500)

# 17
Compound: TcAgMo2
Source: Alexandria
Functional: GGA-PBEsol
Structure: optimized geometry

Properties
- E_form (meV/atom) = 435
- spin magnetization (μB/cell) = 0.0
- offset from the most stable computed form (meV per atom) = 29.9

Unit cell a=3.294 b=3.294 c=5.734 alpha=90.00 beta=90.00 gamma=90.00
Positions (direct):
Tc (0.000, 0.000, 0.000)
Ag (0.000, 0.000, 0.500)
Mo (0.500, 0.500, 0.217)
Mo (0.500, 0.500, 0.783)

# 18
Compound: CaZnSi
Source: Alexandria
Functional: GGA-PBEsol
Structure: optimized geometry

Properties
- formation energy from raw total energies (eV/f.u.) = -1.318
- spin magnetization (μB/cell) = 0.0

Unit cell a=4.110 b=4.110 c=4.275 alpha=90.00 beta=90.00 gamma=120.00
Positions (direct):
Ca (0.000, 0.000, 0.000)
Zn (0.667, 0.333, 0.500)
Si (0.333, 0.667, 0.500)

# 19
Compound: ZnHgIr2
Source: Alexandria
Functional: GGA-PBEsol
Structure: optimized geometry

Properties
- E_form (meV/atom) = 432
- spin magnetization (μB/cell) = 1.1

Unit cell a=4.439 b=4.439 c=4.439 alpha=60.00 beta=60.00 gamma=60.00
Positions (direct):
Zn (0.000, 0.000, 0.000)
Hg (0.250, 0.250, 0.250)
Ir (0.500, 0.500, 0.500)
Ir (0.750, 0.750, 0.750)

# 20
Compound: CuHgRh2
Source: Alexandria
Functional: GGA-PBEsol
Structure: optimized geometry

Properties
- E_form (meV/atom) = 130
- spin magnetization (μB/cell) = 0.0

Unit cell a=2.796 b=2.796 c=7.460 alpha=90.00 beta=90.00 gamma=90.00
Positions (direct):
Cu (0.000, 0.000, 0.000)
Hg (0.500, 0.500, 0.262)
Rh (0.000, 0.000, 0.543)
Rh (0.500, 0.500, 0.773)